A relaxed ScCo crystal. Source: Alexandria, functional PBE.

The structure belongs to space group Fm-3m (No. 225); the cell edges are 5.124, 5.124 and 5.124 Å and the angles 90.00°, 90.00° and 90.00°. Symmetry generates all atoms from Sc at (0.000, 0.000, 0.000) and Co at (0.000, 0.000, 0.500).

The density of states at the Fermi level is 11.316 states/eV/cell. The value obtained for the energy is -6.566 eV per atom.

=====

A relaxed AcHgSO6 crystal. Source: Alexandria, functional PBE.

The structure belongs to space group P1 (No. 1); the cell edges are 5.259, 5.275 and 6.865 Å and the angles 112.27°, 111.42° and 90.08°. Symmetry generates all atoms from Ac at (0.000, 0.000, 0.000), Hg at (0.754, 0.248, 0.500), S at (0.262, 0.746, 0.499), O at (0.111, 0.824, 0.652), O at (0.186, 0.899, 0.351), O at (0.188, 0.443, 0.357), O at (0.564, 0.816, 0.637), O at (0.589, 0.077, 0.154) and O at (0.921, 0.419, 0.846).

The density of states at the Fermi level is 4.956 states/eV/cell. The value obtained for the energy is -5.883 eV per atom. The formation energy without anion corrections comes out at -1414 kJ/mol of formula units.

=====

A relaxed ScTlBr2 crystal. Source: Alexandria, functional PBE.

The structure belongs to space group P4/mmm (No. 123); the cell edges are 5.428, 5.428 and 3.728 Å and the angles 90.00°, 90.00° and 90.00°. Symmetry generates all atoms from Sc at (0.000, 0.000, 0.000), Tl at (0.500, 0.500, 0.000) and Br at (0.000, 0.500, 0.500).

The density of states at the Fermi level is 2.511 states/eV/cell. For the energy above the most stable polymorph in this dataset, the calculation gives 531 meV per atom. The value obtained for the energy is -3.516 eV per atom. The formation energy without anion corrections comes out at -195 kJ/mol of formula units.

=====

A relaxed Co3Ni6Rh crystal. Source: Alexandria, functional PBE.

The structure belongs to space group Cmc2_1 (No. 36); the cell edges are 6.576, 11.176 and 6.358 Å and the angles 90.00°, 90.00° and 90.00°. Symmetry generates all atoms from Co at (0.000, 0.055, 0.000), Co at (0.180, 0.349, 0.481), Ni at (0.000, 0.220, 0.244), Ni at (0.000, 0.466, 0.099), Ni at (0.185, 0.148, 0.621), Ni at (0.237, 0.048, 0.300) and Rh at (0.000, 0.286, 0.863).

The density of states at the Fermi level is 49.463 states/eV/cell. For the energy above the most stable polymorph in this dataset, the calculation gives 3 meV per atom. The value obtained for the energy is -6.161 eV per atom.

=====

A relaxed SmPuH2O6 crystal. Source: Alexandria, functional PBE.

The structure belongs to space group P-1 (No. 2); the cell edges are 5.196, 5.421 and 5.973 Å and the angles 63.73°, 67.82° and 64.38°. Symmetry generates all atoms from Sm at (0.000, 0.000, 0.000), Pu at (0.500, 0.500, 0.500), H at (0.085, 0.273, 0.280), O at (0.087, 0.742, 0.739), O at (0.275, 0.572, 0.274) and O at (0.406, 0.150, 0.719).

The value obtained for the energy is -7.742 eV per atom.

=====

A relaxed Mg6SiSb crystal. Source: Alexandria, functional PBE.

The structure belongs to space group Amm2 (No. 38); the cell edges are 4.949, 5.987 and 12.408 Å and the angles 90.00°, 90.00° and 90.00°. Symmetry generates all atoms from Mg at (0.000, 0.000, 0.000), Mg at (0.000, 0.243, 0.724), Mg at (0.500, 0.000, 0.140), Mg at (0.500, 0.243, 0.897), Si at (0.500, 0.000, 0.708) and Sb at (0.000, 0.000, 0.450).

The density of states at the Fermi level is 6.033 states/eV/cell. For the energy above the most stable polymorph in this dataset, the calculation gives 0 meV per atom. The value obtained for the energy is -2.405 eV per atom. The formation energy without anion corrections comes out at -13 kJ/mol of formula units.

=====

A relaxed SrSiP4 crystal. Source: Alexandria, functional PBE.

The structure belongs to space group F-43m (No. 216); the cell edges are 7.795, 7.795 and 7.795 Å and the angles 90.00°, 90.00° and 90.00°. Symmetry generates all atoms from Sr at (0.000, 0.000, 0.000), Si at (0.250, 0.250, 0.250) and P at (0.106, 0.106, 0.606).

The density of states at the Fermi level is 11.042 states/eV/cell. The value obtained for the energy is -4.609 eV per atom. The formation energy without anion corrections comes out at 105 kJ/mol of formula units.

=====

A relaxed Ho3Si2Pt4 crystal. Source: Alexandria, functional PBE.

The structure belongs to space group C2/m (No. 12); the cell edges are 10.304, 4.305 and 8.501 Å and the angles 90.00°, 112.78° and 90.00°. Symmetry generates all atoms from Ho at (0.000, 0.000, 0.000), Ho at (0.137, 0.500, 0.691), Si at (0.161, 0.500, 0.329), Pt at (0.097, 0.000, 0.412) and Pt at (0.217, 0.500, 0.080).

The density of states at the Fermi level is 10.020 states/eV/cell. The value obtained for the energy is -6.623 eV per atom. The formation energy without anion corrections comes out at -1048 kJ/mol of formula units.

=====

A relaxed CoRePS2 crystal. Source: Alexandria, functional PBE.

The structure belongs to space group P4/mmm (No. 123); the cell edges are 4.306, 4.306 and 4.229 Å and the angles 90.00°, 90.00° and 90.00°. Symmetry generates all atoms from Co at (0.000, 0.000, 0.000), Re at (0.500, 0.500, 0.500), P at (0.000, 0.000, 0.500) and S at (0.000, 0.500, 0.000).

The density of states at the Fermi level is 4.157 states/eV/cell. For the energy above the most stable polymorph in this dataset, the calculation gives 90 meV per atom. The value obtained for the energy is -5.594 eV per atom. The formation energy without anion corrections comes out at 506 kJ/mol of formula units.

=====

A relaxed KZr2Tl crystal. Source: Alexandria, functional PBE.

The structure belongs to space group Pmmm (No. 47); the cell edges are 3.218, 5.574 and 6.004 Å and the angles 90.00°, 90.00° and 90.00°. Symmetry generates all atoms from K at (0.000, 0.000, 0.000), Zr at (0.000, 0.500, 0.500), Zr at (0.500, 0.000, 0.500) and Tl at (0.500, 0.500, 0.000).

The density of states at the Fermi level is 4.886 states/eV/cell. For the energy above the most stable polymorph in this dataset, the calculation gives 409 meV per atom. The value obtained for the energy is -4.570 eV per atom.

=====

A relaxed PrSmAs2O8 crystal. Source: Alexandria, functional PBE.

The structure belongs to space group I-4 (No. 82); the cell edges are 5.163, 5.163 and 11.716 Å and the angles 90.00°, 90.00° and 90.00°. Symmetry generates all atoms from Pr at (0.000, 0.000, 0.000), Sm at (0.000, 0.500, 0.250), As at (0.000, 0.000, 0.500), As at (0.000, 0.500, 0.750), O at (0.136, 0.249, 0.421) and O at (0.142, 0.748, 0.827).

The density of states at the Fermi level is 0.000 states/eV/cell. The value obtained for the energy is -7.191 eV per atom. The formation energy without anion corrections comes out at -2685 kJ/mol of formula units.

=====

A relaxed BeReIr crystal. Source: Alexandria, functional PBE.

The structure belongs to space group Cm (No. 8); the cell edges are 7.969, 4.459 and 5.749 Å and the angles 90.00°, 133.57° and 90.00°. Symmetry generates all atoms from Be at (0.000, 0.248, 0.000), Re at (0.339, 0.500, 0.495), Re at (0.351, 0.000, 0.199), Ir at (0.154, 0.500, 0.803) and Ir at (0.168, 0.000, 0.513).

The density of states at the Fermi level is 6.955 states/eV/cell. For the energy above the most stable polymorph in this dataset, the calculation gives 71 meV per atom. The value obtained for the energy is -8.591 eV per atom.

=====

A relaxed Ce9Sm4Tl11 crystal. Source: Alexandria, functional PBE.

The structure belongs to space group Cmmm (No. 65); the cell edges are 18.718, 21.727 and 3.410 Å and the angles 90.00°, 90.00° and 90.00°. Symmetry generates all atoms from Ce at (0.000, 0.000, 0.000), Ce at (0.116, 0.244, 0.000), Ce at (0.123, 0.414, 0.000), Sm at (0.144, 0.086, 0.000), Tl at (0.000, 0.141, 0.500), Tl at (0.000, 0.333, 0.500), Tl at (0.000, 0.500, 0.500), Tl at (0.240, 0.500, 0.500) and Tl at (0.244, 0.325, 0.500).

The density of states at the Fermi level is 124.353 states/eV/cell. The value obtained for the energy is -4.305 eV per atom.

=====

A relaxed H2IF2 crystal. Source: Alexandria, functional PBE.

The structure belongs to space group I4_1md (No. 109); the cell edges are 6.202, 6.202 and 8.365 Å and the angles 90.00°, 90.00° and 90.00°. Symmetry generates all atoms from H at (0.000, 0.278, 0.000), I at (0.000, 0.000, 0.282) and F at (0.000, 0.235, 0.891).

The density of states at the Fermi level is 1.733 states/eV/cell. For the energy above the most stable polymorph in this dataset, the calculation gives 0 meV per atom. The value obtained for the energy is -3.423 eV per atom.

=====

A relaxed Be6AgAu12 crystal. Source: Alexandria, functional PBE.

The structure belongs to space group Im-3 (No. 204); the cell edges are 8.349, 8.349 and 8.349 Å and the angles 90.00°, 90.00° and 90.00°. Symmetry generates all atoms from Be at (0.000, 0.370, 0.500), Ag at (0.000, 0.000, 0.000) and Au at (0.000, 0.177, 0.301).

The density of states at the Fermi level is 8.480 states/eV/cell. The value obtained for the energy is -3.446 eV per atom.

=====

A relaxed NaHfAgF6 crystal. Source: Alexandria, functional PBE.

The structure belongs to space group P-31c (No. 163); the cell edges are 5.8675, 5.8675 and 9.8490 Å and the angles 90.00°, 90.00° and 120.00°. Symmetry generates all atoms from Na at (0.3333, 0.6667, 0.2500), Hf at (0.3333, 0.6667, 0.7500), Ag at (0.0000, 0.0000, 0.0000) and F at (0.0415, 0.3850, 0.6378).

The density of states at the Fermi level is 0.000 states/eV/cell. The value obtained for the energy is -5.813 eV per atom. The formation energy without anion corrections comes out at -2601 kJ/mol of formula units.

=====

A relaxed SiAgAs2 crystal. Source: Alexandria, functional PBE.

The structure belongs to space group C2/m (No. 12); the cell edges are 7.518, 7.486 and 2.716 Å and the angles 90.00°, 90.39° and 90.00°. Symmetry generates all atoms from Si at (0.000, 0.000, 0.000), Ag at (0.000, 0.500, 0.000) and As at (0.250, 0.250, 0.000).

The density of states at the Fermi level is 3.807 states/eV/cell. The value obtained for the energy is -4.163 eV per atom. The formation energy without anion corrections comes out at 89 kJ/mol of formula units.